(1)
# Ca2PmRh (PBE, relaxed)
data_Ca2PmRh
_chemical_formula_sum 'Ca8 Pm4 Rh4'
_symmetry_space_group_name_H-M 'P n m a'
_symmetry_Int_Tables_number 62
_cell_length_a 7.526
_cell_length_b 9.695
_cell_length_c 6.522
_cell_angle_alpha 90.00
_cell_angle_beta 90.00
_cell_angle_gamma 90.00
loop_
_symmetry_equiv_pos_as_xyz
'x,y,z'
'-x,-y,-z'
'-x+1/2,-y,z+1/2'
'x+1/2,y,-z+1/2'
'x+1/2,-y+1/2,-z+1/2'
'-x+1/2,y+1/2,z+1/2'
'-x,y+1/2,-z'
'x,-y+1/2,z'
loop_
_atom_site_label
_atom_site_type_symbol
_atom_site_fract_x
_atom_site_fract_y
_atom_site_fract_z
Ca1 Ca 0.174 0.066 0.163
Pm1 Pm 0.043 0.250 0.643
Rh1 Rh 0.123 0.750 0.976
# * spin magnetization: 0.00 μB/f.u.
# * electronic total energy: -70.14 eV for the cell shown
# * energy relative to the elements: -0.36 eV/atom

=====

(2)
# LaIn3Se (PBE, relaxed)
data_LaIn3Se
_chemical_formula_sum 'La1 In3 Se1'
_symmetry_space_group_name_H-M 'P m -3 m'
_symmetry_Int_Tables_number 221
_symmetry_space_group_name_Hall '-P 4 2 3'
_cell_length_a 5.470
_cell_length_b 5.470
_cell_length_c 5.470
_cell_angle_alpha 90.00
_cell_angle_beta 90.00
_cell_angle_gamma 90.00
loop_
_atom_site_label
_atom_site_type_symbol
_atom_site_fract_x
_atom_site_fract_y
_atom_site_fract_z
La1 La 0.000 0.000 0.000
In1 In 0.000 0.500 0.500
Se1 Se 0.500 0.500 0.500
# * ΔE_f (raw): 0.093 eV/atom
# * spin magnetization: 0.00 μB/f.u.
# * electronic total energy: -16.16 eV for the cell shown

=====

What did the second record say?
# LaIn3Se (PBE, relaxed)
data_LaIn3Se
_chemical_formula_sum 'La1 In3 Se1'
_symmetry_space_group_name_H-M 'P m -3 m'
_symmetry_Int_Tables_number 221
_symmetry_space_group_name_Hall '-P 4 2 3'
_cell_length_a 5.470
_cell_length_b 5.470
_cell_length_c 5.470
_cell_angle_alpha 90.00
_cell_angle_beta 90.00
_cell_angle_gamma 90.00
loop_
_atom_site_label
_atom_site_type_symbol
_atom_site_fract_x
_atom_site_fract_y
_atom_site_fract_z
La1 La 0.000 0.000 0.000
In1 In 0.000 0.500 0.500
Se1 Se 0.500 0.500 0.500
# * ΔE_f (raw): 0.093 eV/atom
# * spin magnetization: 0.00 μB/f.u.
# * electronic total energy: -16.16 eV for the cell shown